[1]
# Be2InTc2 (GGA-PBE, relaxed)
# - ΔH_f (0 K) (meV per atom) = 235.2
# - magnetic moment (μB per atom) = 0.00
data_Be2InTc2
_chemical_formula_sum 'Be4 In2 Tc4'
_cell_length_a 6.833
_cell_length_b 6.833
_cell_length_c 3.032
_cell_angle_alpha 90.00
_cell_angle_beta 90.00
_cell_angle_gamma 90.00
_symmetry_space_group_name_H-M 'P 4/m b m'
_symmetry_Int_Tables_number 127
_symmetry_space_group_name_Hall '-P 4 2ab'
loop_
_atom_site_label
_atom_site_type_symbol
_atom_site_fract_x
_atom_site_fract_y
_atom_site_fract_z
Be1 Be 0.164 0.336 0.000
In1 In 0.000 0.000 0.500
Tc1 Tc 0.123 0.623 0.500

=====

[2]
# K2IrW (GGA-PBE, relaxed)
# - ΔH_f (0 K) (meV per atom) = 1179.4
# - magnetic moment (μB per atom) = 0.00
data_K2IrW
_chemical_formula_sum 'K4 Ir2 W2'
_cell_length_a 5.554
_cell_length_b 11.929
_cell_length_c 2.866
_cell_angle_alpha 90.00
_cell_angle_beta 119.34
_cell_angle_gamma 90.00
_symmetry_space_group_name_H-M 'C 1 2/m 1'
_symmetry_Int_Tables_number 12
_symmetry_space_group_name_Hall '-C 2y'
loop_
_atom_site_label
_atom_site_type_symbol
_atom_site_fract_x
_atom_site_fract_y
_atom_site_fract_z
K1 K 0.250 0.250 0.000
Ir1 Ir 0.000 0.000 0.500
W1 W 0.000 0.500 0.500

=====

[3]
# Th4PaN5 (GGA-PBE, relaxed)
# - formation energy without anion corrections (eV/atom) = -1.578
# - magnetic moment (μB per atom) = 0.00
data_Th4PaN5
_chemical_formula_sum 'Th8 Pa2 N10'
_cell_length_a 8.101
_cell_length_b 8.101
_cell_length_c 5.138
_cell_angle_alpha 90.00
_cell_angle_beta 90.00
_cell_angle_gamma 90.00
_symmetry_space_group_name_H-M 'I 4/m'
_symmetry_Int_Tables_number 87
_symmetry_space_group_name_Hall '-I 4'
loop_
_atom_site_label
_atom_site_type_symbol
_atom_site_fract_x
_atom_site_fract_y
_atom_site_fract_z
Th1 Th 0.099 0.300 0.000
Pa1 Pa 0.000 0.000 0.500
N1 N 0.000 0.000 0.000
N2 N 0.098 0.286 0.500